Entry from Alexandria via LeMat-Bulk: AlTl2ZnF6 after structural relaxation (PBE).

Properties
**Space group**: Pmmn, No. 59
**E_form (uncorrected)**: -2.36 eV/atom
**V**: 16.5 Å³ per atom
**Fermi-level density of states**: 2.21 states/eV/cell

Lattice parameters (Å, degrees): 6.041 8.120 6.744 90.00 90.00 90.00
Fractional positions:
Al 0.250 0.250 0.178
Al 0.750 0.750 0.822
Tl 0.250 0.011 0.683
Tl 0.250 0.489 0.683
Tl 0.750 0.511 0.317
Tl 0.750 0.989 0.317
Zn 0.250 0.750 0.195
Zn 0.750 0.250 0.805
F 0.031 0.250 0.984
F 0.037 0.250 0.369
F 0.250 0.023 0.172
F 0.250 0.477 0.172
F 0.463 0.250 0.369
F 0.469 0.250 0.984
F 0.531 0.750 0.016
F 0.537 0.750 0.631
F 0.750 0.523 0.828
F 0.750 0.977 0.828
F 0.963 0.750 0.631
F 0.969 0.750 0.016

---

Entry from Alexandria via LeMat-Bulk: TmAlF after structural relaxation (PBE).

Properties
**Space group**: P4/nmm, No. 129
**E_form (uncorrected)**: -1.67 eV/atom
**V**: 16.6 Å³ per atom
**Fermi-level density of states**: 2.45 states/eV/cell

Lattice parameters (Å, degrees): 3.320 3.320 9.055 90.00 90.00 90.00
Fractional positions:
Tm 0.250 0.250 0.192
Tm 0.750 0.750 0.808
Al 0.250 0.250 0.584
Al 0.750 0.750 0.416
F 0.250 0.250 0.936
F 0.750 0.750 0.064

---

Entry from Alexandria via LeMat-Bulk: TmAl2F8 after structural relaxation (PBE).

Properties
**Space group**: C2/m, No. 12
**E_form (uncorrected)**: -3.28 eV/atom
**V**: 14.9 Å³ per atom
**Fermi-level density of states**: 1.55 states/eV/cell

Lattice parameters (Å, degrees): 6.004 6.004 5.598 98.69 98.69 55.42
Fractional positions:
Tm 0.000 0.000 0.000
Al 0.211 0.211 0.658
Al 0.789 0.789 0.342
F 0.088 0.656 0.191
F 0.123 0.123 0.355
F 0.344 0.912 0.809
F 0.369 0.369 0.773
F 0.631 0.631 0.227
F 0.656 0.088 0.191
F 0.877 0.877 0.645
F 0.912 0.344 0.809